A geometry-optimized Np2In3AgTe6 structure, computed with PBE.

Computed properties:
As for the space-group type: C2/m, No. 12. Its formation energy from raw total energies is -0.359 eV/atom. The calculation puts the magnetic moment at 6.48 μB/f.u. The density of states at the Fermi level is 1.637 states/eV/atom.

abc: 7.529 7.529 8.405
angles: 98.47 98.47 120.23
Fractional coordinates of all 12 atoms:
Np 0.167 0.833 0.000
Np 0.833 0.167 0.000
In 0.000 0.000 0.500
In 0.333 0.667 0.500
In 0.667 0.333 0.500
Ag 0.500 0.500 0.000
Te 0.084 0.426 0.774
Te 0.236 0.236 0.221
Te 0.426 0.084 0.774
Te 0.574 0.916 0.226
Te 0.764 0.764 0.779
Te 0.916 0.574 0.226

A geometry-optimized Nb2SnPt structure, computed with PBE.

Computed properties:
As for the space-group type: P4/mmm, No. 123. Its formation energy is -373 meV/atom. The calculation puts the magnetic moment at 0.00 μB/f.u. The density of states at the Fermi level is 0.802 states/eV/atom.

abc: 4.027 4.027 4.453
angles: 90.00 90.00 90.00
Fractional coordinates of all 4 atoms:
Nb 0.000 0.500 0.000
Nb 0.500 0.000 0.000
Sn 0.000 0.000 0.500
Pt 0.500 0.500 0.500

Question: Among the records above, which one has the highest magnetic moment?
Answer: Np2In3AgTe6

Question: Look up the magnetic moment of the second one.
Answer: 0.00 μB/f.u.

Question: What is the magnetic moment in the second record?
Answer: 0.00 μB/f.u.

Copy entry 1 word for word.
A geometry-optimized Np2In3AgTe6 structure, computed with PBE.

Computed properties:
As for the space-group type: C2/m, No. 12. Its formation energy from raw total energies is -0.359 eV/atom. The calculation puts the magnetic moment at 6.48 μB/f.u. The density of states at the Fermi level is 1.637 states/eV/atom.

abc: 7.529 7.529 8.405
angles: 98.47 98.47 120.23
Fractional coordinates of all 12 atoms:
Np 0.167 0.833 0.000
Np 0.833 0.167 0.000
In 0.000 0.000 0.500
In 0.333 0.667 0.500
In 0.667 0.333 0.500
Ag 0.500 0.500 0.000
Te 0.084 0.426 0.774
Te 0.236 0.236 0.221
Te 0.426 0.084 0.774
Te 0.574 0.916 0.226
Te 0.764 0.764 0.779
Te 0.916 0.574 0.226